Entry 1:
## TlIn6Te4 (PBE-GGA)

Data for a relaxed structure of TlIn6Te4.

a = 6.983 Å, b = 7.072 Å, c = 9.010 Å
α = 68.23°, β = 67.27°, γ = 89.32°
Fractional positions:
Tl (0.000, 0.000, 0.000)
In (0.031, 0.578, 0.311)
In (0.343, 0.411, 0.698)
In (0.420, 0.124, 0.303)
In (0.509, 0.991, 0.005)
In (0.721, 0.862, 0.703)
In (0.912, 0.500, 0.005)
Te (0.306, 0.862, 0.673)
Te (0.479, 0.541, 0.307)
Te (0.785, 0.442, 0.703)
Te (0.974, 0.125, 0.334)

Results
* space-group type: P1
* energy relative to the elements, uncorrected: -0.1732 eV/atom


Entry 2:
## Tm7Al2Rh2 (PBE-GGA)

Data for a relaxed structure of Tm7Al2Rh2.

a = 6.618 Å, b = 6.618 Å, c = 6.917 Å
α = 90.00°, β = 90.00°, γ = 107.60°
Fractional positions:
Tm (0.000, 0.000, 0.000)
Tm (0.000, 0.500, 0.258)
Tm (0.000, 0.500, 0.742)
Tm (0.500, 0.000, 0.258)
Tm (0.500, 0.000, 0.742)
Tm (0.500, 0.500, 0.252)
Tm (0.500, 0.500, 0.748)
Al (0.169, 0.169, 0.500)
Al (0.831, 0.831, 0.500)
Rh (0.290, 0.710, 0.000)
Rh (0.710, 0.290, 0.000)

Results
* space-group type: Cmmm
* DFT formation energy: -379 meV per atom


Entry 3:
## La4DyY3Te8 (PBE-GGA)

Data for a relaxed structure of La4DyY3Te8.

a = 8.984 Å, b = 8.984 Å, c = 8.984 Å
α = 59.40°, β = 59.40°, γ = 59.40°
Fractional positions:
La (0.000, 0.000, 0.000)
La (0.000, 0.500, 0.500)
La (0.500, 0.000, 0.500)
La (0.500, 0.500, 0.000)
Dy (0.500, 0.500, 0.500)
Y (0.000, 0.000, 0.500)
Y (0.000, 0.500, 0.000)
Y (0.500, 0.000, 0.000)
Te (0.245, 0.245, 0.245)
Te (0.245, 0.744, 0.744)
Te (0.256, 0.256, 0.755)
Te (0.256, 0.755, 0.256)
Te (0.744, 0.245, 0.744)
Te (0.744, 0.744, 0.245)
Te (0.755, 0.256, 0.256)
Te (0.755, 0.755, 0.755)

Results
* space-group type: R-3m
* energy relative to the elements, uncorrected: -1.4526 eV/atom


Number 1: Fermi-level density of states 3.51 states/eV/f.u., calculated volume 34.24 Å³ per atom. Number 2: Fermi-level density of states 10.04 states/eV/f.u., calculated volume 26.25 Å³ per atom. Number 3: Fermi-level density of states 12.53 states/eV/f.u., calculated volume 31.61 Å³ per atom.